# PBE Sm2GdTmIn2, relaxed
# - Total moment: 0.8 Bohr magnetons per cell
# - Uncorrected energy: -4.35 eV/atom
data_Sm2GdTmIn2
_cell_length_a 5.4345
_cell_length_b 5.4345
_cell_length_c 6.7878
_cell_angle_alpha 90.00
_cell_angle_beta 90.00
_cell_angle_gamma 120.00
_space_group_name_H-M_alt 'P -3 m 1'
_space_group_IT_number 164
_space_group_name_Hall '-P 3 2"'
loop_
_atom_site_label
_atom_site_fract_x
_atom_site_fract_y
_atom_site_fract_z
_atom_site_occupancy
Sm1 0.3333 0.6667 0.2471 1
Gd1 0.0000 0.0000 0.5000 1
Tm1 0.0000 0.0000 0.0000 1
In1 0.3333 0.6667 0.7516 1

---

# PBE Ba3Tc2O7, relaxed
# - Total moment: 5.8 Bohr magnetons per cell
# - Uncorrected energy: -7.21 eV/atom
data_Ba3Tc2O7
_cell_length_a 4.030
_cell_length_b 4.030
_cell_length_c 21.428
_cell_angle_alpha 90.00
_cell_angle_beta 90.00
_cell_angle_gamma 90.00
_space_group_name_H-M_alt 'I 4/m m m'
_space_group_IT_number 139
_space_group_name_Hall '-I 4 2'
loop_
_atom_site_label
_atom_site_fract_x
_atom_site_fract_y
_atom_site_fract_z
_atom_site_occupancy
Ba1 0.000 0.000 0.000 1
Ba2 0.000 0.000 0.185 1
Tc1 0.000 0.000 0.405 1
O1 0.000 0.000 0.310 1
O2 0.000 0.000 0.500 1
O3 0.000 0.500 0.095 1

---

# PBE DyHf6As2, relaxed
# - Total moment: 0.0 Bohr magnetons per cell
# - Uncorrected energy: -8.40 eV/atom
data_DyHf6As2
_cell_length_a 7.4853
_cell_length_b 7.4853
_cell_length_c 3.8758
_cell_angle_alpha 90.00
_cell_angle_beta 90.00
_cell_angle_gamma 120.00
_space_group_name_H-M_alt 'P -6 2 m'
_space_group_IT_number 189
_space_group_name_Hall 'P -6 -2'
loop_
_atom_site_label
_atom_site_fract_x
_atom_site_fract_y
_atom_site_fract_z
_atom_site_occupancy
Dy1 0.0000 0.0000 0.0000 1
Hf1 0.0000 0.2657 0.5000 1
Hf2 0.0000 0.5825 0.0000 1
As1 0.3333 0.6667 0.5000 1

---

# PBE MgTaZnIr, relaxed
# - Total moment: 0.0 Bohr magnetons per cell
# - Uncorrected energy: -6.17 eV/atom
data_MgTaZnIr
_cell_length_a 6.292
_cell_length_b 6.292
_cell_length_c 6.292
_cell_angle_alpha 90.00
_cell_angle_beta 90.00
_cell_angle_gamma 90.00
_space_group_name_H-M_alt 'F -4 3 m'
_space_group_IT_number 216
_space_group_name_Hall 'F -4 2 3'
loop_
_atom_site_label
_atom_site_fract_x
_atom_site_fract_y
_atom_site_fract_z
_atom_site_occupancy
Mg1 0.000 0.000 0.000 1
Ta1 0.250 0.250 0.250 1
Zn1 0.250 0.250 0.750 1
Ir1 0.000 0.000 0.500 1

---

# PBE AcZnSn, relaxed
# - Total moment: 0.0 Bohr magnetons per cell
# - Uncorrected energy: -3.55 eV/atom
data_AcZnSn
_cell_length_a 7.109
_cell_length_b 7.109
_cell_length_c 7.109
_cell_angle_alpha 90.00
_cell_angle_beta 90.00
_cell_angle_gamma 90.00
_space_group_name_H-M_alt 'F -4 3 m'
_space_group_IT_number 216
_space_group_name_Hall 'F -4 2 3'
loop_
_atom_site_label
_atom_site_fract_x
_atom_site_fract_y
_atom_site_fract_z
_atom_site_occupancy
Ac1 0.000 0.000 0.000 1
Zn1 0.250 0.250 0.250 1
Sn1 0.000 0.000 0.500 1

---

# PBE LiCdAgAu, relaxed
# - Uncorrected energy: -2.51 eV/atom
data_LiCdAgAu
_cell_length_a 4.650
_cell_length_b 4.640
_cell_length_c 6.475
_cell_angle_alpha 90.00
_cell_angle_beta 90.42
_cell_angle_gamma 90.00
_space_group_name_H-M_alt 'P 1 21/m 1'
_space_group_IT_number 11
loop_
_space_group_symop_operation_xyz
'x,y,z'
'-x,-y,-z'
'-x,y+1/2,-z'
'x,-y+1/2,z'
loop_
_atom_site_label
_atom_site_fract_x
_atom_site_fract_y
_atom_site_fract_z
_atom_site_occupancy
Li1 0.230 0.250 0.000 1
Cd1 0.232 0.250 0.500 1
Ag1 0.272 0.750 0.777 1
Au1 0.269 0.750 0.224 1

---

# PBE Al2Pt3, relaxed
# - Total moment: 0.0 Bohr magnetons per cell
# - Uncorrected energy: -6.00 eV/atom
data_Al2Pt3
_cell_length_a 5.4459
_cell_length_b 5.4459
_cell_length_c 13.1140
_cell_angle_alpha 90.00
_cell_angle_beta 90.00
_cell_angle_gamma 120.00
_space_group_name_H-M_alt 'P 63/m m c'
_space_group_IT_number 194
_space_group_name_Hall '-P 6c 2c'
loop_
_atom_site_label
_atom_site_fract_x
_atom_site_fract_y
_atom_site_fract_z
_atom_site_occupancy
Al1 0.0000 0.0000 0.2500 1
Al2 0.3333 0.6667 0.0725 1
Al3 0.3333 0.6667 0.7500 1
Pt1 0.1662 0.3323 0.5975 1

---

# PBE PmCoAu, relaxed
# - Formation enthalpy at 0 K: 0.375 eV per atom
# - Total moment: 4.4 Bohr magnetons per cell
# - Uncorrected energy: -4.66 eV/atom
data_PmCoAu
_cell_length_a 6.618
_cell_length_b 6.618
_cell_length_c 6.618
_cell_angle_alpha 90.00
_cell_angle_beta 90.00
_cell_angle_gamma 90.00
_space_group_name_H-M_alt 'F -4 3 m'
_space_group_IT_number 216
_space_group_name_Hall 'F -4 2 3'
loop_
_atom_site_label
_atom_site_fract_x
_atom_site_fract_y
_atom_site_fract_z
_atom_site_occupancy
Pm1 0.000 0.000 0.000 1
Co1 0.250 0.250 0.250 1
Au1 0.250 0.250 0.750 1

---

# PBE Hf2ZnRe, relaxed
# - Formation enthalpy at 0 K: -0.294 eV per atom
# - Total moment: 0.0 Bohr magnetons per cell
# - Uncorrected energy: -8.69 eV/atom
data_Hf2ZnRe
_cell_length_a 6.485
_cell_length_b 6.499
_cell_length_c 3.363
_cell_angle_alpha 90.00
_cell_angle_beta 90.00
_cell_angle_gamma 90.00
_space_group_name_H-M_alt 'C m m m'
_space_group_IT_number 65
_space_group_name_Hall '-C 2 2'
loop_
_atom_site_label
_atom_site_fract_x
_atom_site_fract_y
_atom_site_fract_z
_atom_site_occupancy
Hf1 0.250 0.250 0.000 1
Zn1 0.000 0.000 0.500 1
Re1 0.000 0.500 0.500 1

---

# PBE Sm2Al3Pt4, relaxed
# - Total moment: 0.0 Bohr magnetons per cell
# - Uncorrected energy: -6.12 eV/atom
data_Sm2Al3Pt4
_cell_length_a 5.654
_cell_length_b 15.516
_cell_length_c 7.592
_cell_angle_alpha 90.00
_cell_angle_beta 90.00
_cell_angle_gamma 90.00
_space_group_name_H-M_alt 'C m c e'
_space_group_IT_number 64
_space_group_name_Hall '-C 2ac 2'
loop_
_atom_site_label
_atom_site_fract_x
_atom_site_fract_y
_atom_site_fract_z
_atom_site_occupancy
Sm1 0.000 0.107 0.092 1
Al1 0.000 0.000 0.500 1
Al2 0.250 0.228 0.750 1
Pt1 0.000 0.183 0.474 1
Pt2 0.250 0.061 0.750 1

---

# PBE MgTlNiHg, relaxed
# - Total moment: 0.0 Bohr magnetons per cell
# - Uncorrected energy: -2.33 eV/atom
data_MgTlNiHg
_cell_length_a 6.715
_cell_length_b 6.715
_cell_length_c 6.715
_cell_angle_alpha 90.00
_cell_angle_beta 90.00
_cell_angle_gamma 90.00
_space_group_name_H-M_alt 'F -4 3 m'
_space_group_IT_number 216
_space_group_name_Hall 'F -4 2 3'
loop_
_atom_site_label
_atom_site_fract_x
_atom_site_fract_y
_atom_site_fract_z
_atom_site_occupancy
Mg1 0.000 0.000 0.000 1
Tl1 0.250 0.250 0.250 1
Ni1 0.000 0.000 0.500 1
Hg1 0.250 0.250 0.750 1

---

# PBE Lu3Ge4, relaxed
# - Total moment: 0.0 Bohr magnetons per cell
# - Uncorrected energy: -5.30 eV/atom
data_Lu3Ge4
_cell_length_a 3.977
_cell_length_b 10.489
_cell_length_c 14.091
_cell_angle_alpha 90.00
_cell_angle_beta 90.00
_cell_angle_gamma 90.00
_space_group_name_H-M_alt 'C m c m'
_space_group_IT_number 63
_space_group_name_Hall '-C 2c 2'
loop_
_atom_site_label
_atom_site_fract_x
_atom_site_fract_y
_atom_site_fract_z
_atom_site_occupancy
Lu1 0.000 0.048 0.250 1
Lu2 0.000 0.332 0.097 1
Ge1 0.000 0.000 0.000 1
Ge2 0.000 0.221 0.750 1
Ge3 0.000 0.379 0.608 1

---

- Look up the uncorrected energy of the first one.
  -4.35 eV/atom